Na2CrPbF6: optimized geometry, GGA+U.

## Properties
**V**: 18.1 Å³/atom
**E_tot**: -4.956 eV per atom
**Size of the total moment**: 4.0 μB/cell

a = 4.8517 Å, b = 6.1071 Å, c = 6.1071 Å
α = 90.00°, β = 90.00°, γ = 90.00°
Site moments in Bohr magnetons follow the coordinates.
Fractional positions:
Na 0.9681 0.0000 0.5000  0.00
Na 0.9681 0.5000 0.0000  0.00
F 0.7367 0.2340 0.7660  0.00
F 0.7367 0.7660 0.7660  0.00
F 0.2147 0.0000 0.0000  0.04
F 0.0800 0.5000 0.5000  0.00
F 0.7367 0.7660 0.2340  0.00
F 0.7367 0.2340 0.2340  0.00
Pb 0.5891 0.5000 0.5000  0.01
Cr 0.6797 0.0000 0.0000  3.81